1.
VASP calculation (PBE-GGA) on a relaxed structure of Tc2MoRh.

Unit cell a=3.8851 b=3.8851 c=7.8276 alpha=90.00 beta=90.00 gamma=90.00
Last column: nearest neighbours and their distance in Å.
Space group I4/mmm (No. 139)
Symmetry-distinct sites (fractional):
Tc (0.0000, 0.5000, 0.2500) x4  4 Tc 2.75, 4 Mo 2.76, 4 Rh 2.76
Mo (0.0000, 0.0000, 0.0000) x2  4 Rh 2.75, 8 Tc 2.76
Rh (0.0000, 0.0000, 0.5000) x2  4 Mo 2.75, 8 Tc 2.76

Results
- Relative energy among the computed polymorphs: 0.062 eV/atom
- D(E_F): 7.6 states/eV per cell
- E_form: 0.0 eV/f.u.

2.
VASP calculation (PBE-GGA) on a relaxed structure of Er2LuRh.

Unit cell a=3.4699 b=3.4699 c=8.4041 alpha=90.00 beta=90.00 gamma=90.00
Last column: nearest neighbours and their distance in Å.
Space group P4/mmm (No. 123)
Symmetry-distinct sites (fractional):
Er (0.0000, 0.0000, 0.1922) x2  4 Rh 2.94, 1 Er 3.23
Lu (0.5000, 0.5000, 0.5000) x1  4 Lu 3.47, 8 Er 3.57
Rh (0.5000, 0.5000, 0.0000) x1  8 Er 2.94

Results
- Relative energy among the computed polymorphs: 0.000 eV/atom
- D(E_F): 5.3 states/eV per cell
- E_form: -1.7 eV/f.u.

3.
VASP calculation (PBE-GGA) on a relaxed structure of K2NaAsSe4.

Unit cell a=6.5878 b=13.6532 c=25.6572 alpha=90.00 beta=90.00 gamma=90.00
Last column: nearest neighbours and their distance in Å.
Space group Fddd (No. 70, origin choice 2)
Symmetry-distinct sites (fractional):
K (0.1250, 0.1250, 0.3172) x16  4 Se 3.49-3.53
Na (0.1250, 0.1250, 0.1250) x8  4 Se 2.83
As (0.1250, 0.1250, 0.6250) x8  4 Se 2.36
Se (0.0688, 0.2694, 0.8217) x32  1 As 2.36

Results
- ΔE_f (raw): -0.693 eV/atom

4.
VASP calculation (PBE-GGA) on a relaxed structure of KCdTeI.

Unit cell a=4.6864 b=4.6864 c=25.8178 alpha=90.00 beta=90.00 gamma=120.00
Last column: nearest neighbours and their distance in Å.
Space group R3m (No. 160, hexagonal axes)
Symmetry-distinct sites (fractional):
K (0.0000, 0.0000, 0.0000) x3  3 I 3.41, 1 Cd 3.66, 3 Te 3.76
Cd (0.0000, 0.0000, 0.8582) x3  1 I 2.87, 3 Te 2.90
Te (0.0000, 0.0000, 0.2321) x3  3 Cd 2.90
I (0.0000, 0.0000, 0.7470) x3  1 Cd 2.87

Results
- ΔE_f (raw): -0.858 eV/atom

5.
VASP calculation (PBE-GGA) on a relaxed structure of AcTb2Tl9.

Unit cell a=4.8598 b=4.8598 c=14.5303 alpha=90.00 beta=90.00 gamma=90.00
Last column: nearest neighbours and their distance in Å.
Space group P4/mmm (No. 123)
Symmetry-distinct sites (fractional):
Ac (0.0000, 0.0000, 0.0000) x1  12 Tl 3.44-3.54
Tb (0.0000, 0.0000, 0.3408) x2  12 Tl 3.35-3.44
Tl (0.0000, 0.5000, 0.1774) x4  8 Tl 3.36-3.54, 2 Tb 3.40, 2 Ac 3.54
Tl (0.0000, 0.5000, 0.5000) x2  4 Tb 3.35, 8 Tl 3.39-3.44
Tl (0.5000, 0.5000, 0.0000) x1  4 Ac 3.44, 8 Tl 3.54
Tl (0.5000, 0.5000, 0.3370) x2  8 Tl 3.36-3.39, 4 Tb 3.44

Results
- D(E_F): 3.5 states/eV per cell
- E_form: -3.2 eV/f.u.

6.
VASP calculation (PBE-GGA) on a relaxed structure of BaYSe2.

Unit cell a=4.3051 b=6.9190 c=8.6710 alpha=90.00 beta=90.00 gamma=90.00
Last column: nearest neighbours and their distance in Å.
Space group Immm (No. 71)
Symmetry-distinct sites (fractional):
Ba (0.0000, 0.0000, 0.0000) x2  4 Se 3.29
Y (0.0000, 0.0000, 0.5000) x2  4 Se 2.83
Se (0.0000, 0.5000, 0.2125) x4  2 Y 2.83

Results
- ΔE_f (raw): -1.534 eV/atom
- Relative energy among the computed polymorphs: 0.354 eV/atom
- D(E_F): 2.6 states/eV per cell

7.
VASP calculation (PBE-GGA) on a relaxed structure of CaU2Pd9.

Unit cell a=4.1353 b=4.1353 c=12.3672 alpha=90.00 beta=90.00 gamma=90.00
Last column: nearest neighbours and their distance in Å.
Space group P4/mmm (No. 123)
Symmetry-distinct sites (fractional):
Ca (0.0000, 0.0000, 0.0000) x1  12 Pd 2.92-2.97
U (0.0000, 0.0000, 0.3295) x2  12 Pd 2.83-2.95
Pd (0.0000, 0.5000, 0.1728) x4  2 U 2.83, 8 Pd 2.89-2.97, 2 Ca 2.97
Pd (0.0000, 0.5000, 0.5000) x2  8 Pd 2.90-2.92, 4 U 2.95
Pd (0.5000, 0.5000, 0.0000) x1  4 Ca 2.92, 8 Pd 2.97
Pd (0.5000, 0.5000, 0.3358) x2  8 Pd 2.89-2.90, 4 U 2.93

Results
- D(E_F): 16.9 states/eV per cell
- E_form: -6.9 eV/f.u.

8.
VASP calculation (PBE-GGA) on a relaxed structure of K2TlMo.

Unit cell a=3.7796 b=4.7883 c=12.3130 alpha=90.00 beta=90.00 gamma=90.00
Last column: nearest neighbours and their distance in Å.
Space group Cmmm (No. 65)
Symmetry-distinct sites (fractional):
K (0.0000, 0.0000, 0.2383) x4  4 K 3.05
Tl (0.0000, 0.5000, 0.5000) x2  4 Tl 3.05
Mo (0.0000, 0.5000, 0.0000) x2  4 Mo 3.05

Results
- Relative energy among the computed polymorphs: 0.263 eV/atom
- D(E_F): 8.8 states/eV per cell
- E_form: 4.1 eV/f.u.

9.
VASP calculation (PBE-GGA) on a relaxed structure of La5Ru.

Unit cell a=6.4446 b=6.4446 c=5.0474 alpha=90.00 beta=90.00 gamma=120.00
Last column: nearest neighbours and their distance in Å.
Space group P-62m (No. 189)
Symmetry-distinct sites (fractional):
La (0.0000, 0.7143, 0.0000) x3  2 Ru 3.12, 6 La 3.19-3.43
La (0.3333, 0.6667, 0.5000) x2  9 La 3.43-3.72, 3 Ru 3.72
Ru (0.0000, 0.0000, 0.5000) x1  6 La 3.12

Results
- Relative energy among the computed polymorphs: 0.212 eV/atom
- D(E_F): 8.1 states/eV per cell
- E_form: 0.7 eV/f.u.

10.
VASP calculation (PBE-GGA) on a relaxed structure of BeBiHPb.

Unit cell a=8.3511 b=3.3171 c=6.8314 alpha=90.00 beta=110.88 gamma=90.00
Last column: nearest neighbours and their distance in Å.
Space group Cm (No. 8)
Symmetry-distinct sites (fractional):
Be (0.0000, 0.0000, 0.0000) x2  1 Pb 2.54, 3 Bi 2.57-2.61
Bi (0.2563, 0.5000, 0.1474) x2  3 Be 2.57-2.61
H (0.0520, 0.5000, 0.5469) x2  1 Pb 1.86
Pb (0.2888, 0.5000, 0.6249) x2  1 H 1.86

Results
- Relative energy among the computed polymorphs: 0.262 eV/atom
- D(E_F): 2.3 states/eV per cell

11.
VASP calculation (PBE-GGA) on a relaxed structure of Sr2MgBr.

Unit cell a=4.2242 b=4.2242 c=29.4916 alpha=90.00 beta=90.00 gamma=120.00
Last column: nearest neighbours and their distance in Å.
Space group R3m (No. 160, hexagonal axes)
Symmetry-distinct sites (fractional):
Sr (0.0000, 0.0000, 0.0000) x3  3 Br 3.42, 3 Mg 3.53
Sr (0.0000, 0.0000, 0.1603) x3  3 Br 3.37, 3 Mg 3.53
Mg (0.0000, 0.0000, 0.5800) x3  6 Sr 3.53
Br (0.0000, 0.0000, 0.7480) x3  6 Sr 3.37-3.42

Results
- ΔE_f (raw): -0.666 eV/atom
- Relative energy among the computed polymorphs: 0.056 eV/atom
- D(E_F): 9.0 states/eV per cell

12.
VASP calculation (PBE-GGA) on a relaxed structure of Tb5Dy2Er2.

Unit cell a=15.0149 b=4.9973 c=7.9074 alpha=90.00 beta=108.47 gamma=90.00
Last column: nearest neighbours and their distance in Å.
Space group C2/m (No. 12)
Symmetry-distinct sites (fractional):
Tb (0.0000, 0.0000, 0.0000) x2  2 Dy 3.53, 6 Tb 3.54, 4 Er 3.54
Tb (0.1666, 0.5000, 0.0004) x4  7 Tb 3.53-3.55, 3 Dy 3.54, 2 Er 3.54
Tb (0.2220, 0.0000, 0.3337) x4  6 Tb 3.53-3.55, 3 Er 3.54, 3 Dy 3.54
Dy (0.1106, 0.0000, 0.6664) x4  1 Dy 3.52, 4 Er 3.53, 7 Tb 3.53-3.54
Er (0.0555, 0.5000, 0.3341) x4  1 Er 3.53, 4 Dy 3.53, 7 Tb 3.54

Results
- Relative energy among the computed polymorphs: 0.000 eV/atom
- D(E_F): 22.5 states/eV per cell
- E_form: 0.1 eV/f.u.

13.
VASP calculation (PBE-GGA) on a relaxed structure of RbPaAgO5.

Unit cell a=5.9169 b=10.8925 c=8.2324 alpha=90.00 beta=95.55 gamma=90.00
Last column: nearest neighbours and their distance in Å.
Space group C2/c (No. 15)
Symmetry-distinct sites (fractional):
Rb (0.0000, 0.1801, 0.2500) x4  9 O 2.79-3.07
Pa (0.0000, 0.5000, 0.0000) x4  4 O 2.01-2.17
Ag (0.0000, 0.1739, 0.7500) x4  4 O 2.20-2.33
O (0.0000, 0.4365, 0.2500) x4  2 Pa 2.17
O (0.0247, 0.3236, 0.5726) x8  1 Pa 2.01, 1 Ag 2.20
O (0.0849, 0.0333, 0.9602) x8  1 O 1.45

Results
- ΔE_f (raw): -1.774 eV/atom
- D(E_F): 15.6 states/eV per cell

14.
VASP calculation (PBE-GGA) on a relaxed structure of NaFePd2.

Unit cell a=2.9154 b=2.9154 c=7.7509 alpha=90.00 beta=90.00 gamma=90.00
Last column: nearest neighbours and their distance in Å.
Space group P4/mmm (No. 123)
Symmetry-distinct sites (fractional):
Na (0.0000, 0.0000, 0.0000) x1  4 Na 2.92, 8 Pd 3.07
Fe (0.0000, 0.0000, 0.5000) x1  8 Pd 2.61, 4 Fe 2.92
Pd (0.5000, 0.5000, 0.2929) x2  4 Fe 2.61, 4 Pd 2.92

Results
- D(E_F): 3.1 states/eV per cell
- E_form: -0.2 eV/f.u.

15.
VASP calculation (PBE-GGA) on a relaxed structure of NdZrSc.

Unit cell a=3.3638 b=3.3638 c=8.2203 alpha=90.00 beta=90.00 gamma=120.00
Last column: nearest neighbours and their distance in Å.
Space group P3m1 (No. 156)
Symmetry-distinct sites (fractional):
Nd (0.0000, 0.0000, 0.0000) x1  6 Nd 3.36, 3 Zr 3.37, 3 Sc 3.56
Zr (0.6667, 0.3333, 0.3351) x1  3 Sc 3.16, 6 Zr 3.36, 3 Nd 3.37
Sc (0.3333, 0.6667, 0.6376) x1  3 Zr 3.16, 6 Sc 3.36

Results
- Relative energy among the computed polymorphs: 0.017 eV/atom
- D(E_F): 3.3 states/eV per cell
- E_form: 0.3 eV/f.u.

16.
VASP calculation (PBE-GGA) on a relaxed structure of Na3Hf3PdS8.

Unit cell a=12.6622 b=7.4210 c=7.9398 alpha=90.00 beta=121.98 gamma=90.00
Last column: nearest neighbours and their distance in Å.
Space group C2/m (No. 12)
Symmetry-distinct sites (fractional):
Na (0.0000, 0.0000, 0.0000) x2  6 S 2.83-2.90
Na (0.2500, 0.2500, 0.0000) x4  6 S 2.85-2.89
Hf (0.0000, 0.5000, 0.5000) x2  6 S 2.55-2.59
Hf (0.2500, 0.2500, 0.5000) x4  6 S 2.53-2.60
Pd (0.0000, 0.0000, 0.5000) x2  6 S 2.50-2.66
S (0.0149, 0.2610, 0.2833) x8  2 Hf 2.53-2.55, 1 Pd 2.66
S (0.2324, 0.0000, 0.7067) x4  1 Pd 2.50, 2 Hf 2.56
S (0.2404, 0.5000, 0.7201) x4  3 Hf 2.59-2.60, 3 Na 2.83-2.85

Results
- ΔE_f (raw): -1.281 eV/atom
- D(E_F): 14.9 states/eV per cell

17.
VASP calculation (PBE-GGA) on a relaxed structure of Sc2AsO.

Unit cell a=3.2167 b=3.2167 c=23.1795 alpha=90.00 beta=90.00 gamma=120.00
Last column: nearest neighbours and their distance in Å.
Space group R-3m (No. 166, hexagonal axes)
Symmetry-distinct sites (fractional):
Sc (0.0000, 0.0000, 0.1132) x6  3 O 2.23
As (0.0000, 0.0000, 0.0000) x3  2 Sc 2.62
O (0.0000, 0.0000, 0.5000) x3  6 Sc 2.23

Results
- ΔE_f (raw): -1.397 eV/atom
- Relative energy among the computed polymorphs: 0.490 eV/atom
- D(E_F): 11.2 states/eV per cell

18.
VASP calculation (PBE-GGA) on a relaxed structure of Zn2NiCl6.

Unit cell a=11.9667 b=10.8622 c=6.4928 alpha=90.00 beta=100.61 gamma=90.00
Last column: nearest neighbours and their distance in Å.
Space group C2/c (No. 15)
Symmetry-distinct sites (fractional):
Zn (0.1908, 0.0905, 0.3213) x8  4 Cl 2.28-2.37
Ni (0.0000, 0.4073, 0.2500) x4  6 Cl 2.36-2.52
Cl (0.1082, 0.4224, 0.6095) x8  1 Zn 2.37, 2 Ni 2.46-2.52
Cl (0.1222, 0.2614, 0.1375) x8  1 Zn 2.28, 1 Ni 2.36
Cl (0.1277, 0.0819, 0.6316) x8  2 Zn 2.28-2.29

Results
- ΔE_f (raw): -0.886 eV/atom

19.
VASP calculation (PBE-GGA) on a relaxed structure of Cr2HgSe.

Unit cell a=6.7121 b=6.7121 c=6.7121 alpha=90.00 beta=90.00 gamma=90.00
Last column: nearest neighbours and their distance in Å.
Space group F-43m (No. 216)
Symmetry-distinct sites (fractional):
Cr (0.0000, 0.0000, 0.0000) x4  4 Se 2.91, 4 Cr 2.91
Cr (0.2500, 0.2500, 0.2500) x4  4 Hg 2.91, 4 Cr 2.91
Hg (0.0000, 0.0000, 0.5000) x4  4 Cr 2.91, 4 Se 2.91
Se (0.2500, 0.2500, 0.7500) x4  4 Hg 2.91, 4 Cr 2.91

Results
- ΔE_f (raw): 0.525 eV/atom
- Relative energy among the computed polymorphs: 0.311 eV/atom
- D(E_F): 6.9 states/eV per cell

20.
VASP calculation (PBE-GGA) on a relaxed structure of CsPrMgCl6.

Unit cell a=7.0049 b=7.0049 c=7.6987 alpha=90.00 beta=90.00 gamma=120.00
Last column: nearest neighbours and their distance in Å.
Space group P312 (No. 149)
Symmetry-distinct sites (fractional):
Cs (0.0000, 0.0000, 0.0000) x1  6 Cl 3.54
Pr (0.6667, 0.3333, 0.5000) x1  6 Cl 2.78
Mg (0.3333, 0.6667, 0.5000) x1  6 Cl 2.55
Cl (0.0247, 0.3914, 0.6956) x6  1 Mg 2.55, 1 Pr 2.78

Results
- ΔE_f (raw): -2.098 eV/atom
- D(E_F): 0.0 states/eV per cell

21.
VASP calculation (PBE-GGA) on a relaxed structure of CaSmAu.

Unit cell a=3.6874 b=3.6874 c=13.0586 alpha=90.00 beta=90.00 gamma=90.00
Last column: nearest neighbours and their distance in Å.
Space group I4mm (No. 107)
Symmetry-distinct sites (fractional):
Ca (0.0000, 0.0000, 0.0000) x2  4 Au 3.22, 1 Sm 3.52
Sm (0.0000, 0.0000, 0.2693) x2  4 Au 3.07
Au (0.0000, 0.0000, 0.6453) x2  4 Sm 3.07, 4 Ca 3.22

Results
- Relative energy among the computed polymorphs: 0.000 eV/atom
- D(E_F): 5.2 states/eV per cell
- E_form: -1.5 eV/f.u.

22.
VASP calculation (PBE-GGA) on a relaxed structure of RbHgMo2Ru.

Unit cell a=4.7664 b=4.7664 c=4.6872 alpha=90.00 beta=90.00 gamma=90.00
Last column: nearest neighbours and their distance in Å.
Space group P4/mmm (No. 123)
Symmetry-distinct sites (fractional):
Rb (0.0000, 0.0000, 0.0000) x1  2 Ru 2.34, 4 Mo 2.38
Hg (0.5000, 0.5000, 0.5000) x1  8 Mo 3.34, 4 Ru 3.37
Mo (0.0000, 0.5000, 0.0000) x2  2 Rb 2.38
Ru (0.0000, 0.0000, 0.5000) x1  2 Rb 2.34

Results
- D(E_F): 6.0 states/eV per cell
- E_form: 15.5 eV/f.u.

| no. | total magnetic moment (μB per cell) |
| --- | --- |
| 1 | 0.00 |
| 2 | 0.00 |
| 3 | 0.00 |
| 4 | 0.00 |
| 5 | 0.00 |
| 6 | 1.70 |
| 7 | 3.46 |
| 8 | 0.82 |
| 9 | 0.00 |
| 10 | 0.00 |
| 11 | 0.32 |
| 12 | 0.00 |
| 13 | 0.00 |
| 14 | 3.62 |
| 15 | 0.00 |
| 16 | 0.00 |
| 17 | 0.01 |
| 18 | 8.21 |
| 19 | 0.02 |
| 20 | 0.00 |
| 21 | 0.00 |
| 22 | 2.89 |